## KUMoO6 (GGA+U)

Data for KUMoO6 after structural relaxation.

Lattice parameters (Å, degrees): 7.386 7.867 10.878 90.00 90.00 90.00
Space group Imma (No. 74)
Unique sites:
K (0.000, 0.250, 0.151) [4 per cell]
U (0.000, 0.000, 0.500) [4 per cell]
Mo (0.250, 0.250, 0.750) [4 per cell]
O (0.000, 0.250, 0.424) [4 per cell]
O (0.000, 0.250, 0.803) [4 per cell]
O (0.196, 0.066, 0.627) [16 per cell]

Values from the calculation:
Total moment (Bohr magnetons per cell): 4.000
DFT total energy (eV per atom): -7.82